# 1
Entry from Alexandria: crystalline ScCd2Os at its relaxed geometry (PBE).

Cell: 4.8408 2.8949 5.5365 Å, 74.94 90.00 90.00°
Last column: nearest neighbours and their distance in Å.
Sites, in units of the cell vectors:
Cd1 0.0000 0.0705 0.0117  5 Cd 2.80-3.08, 2 Os 2.87, 2 Sc 3.09
Sc1 0.5000 0.7500 0.7500  2 Os 2.77, 2 Sc 2.89, 4 Cd 3.09
Os1 0.5000 0.2500 0.2500  2 Sc 2.77, 4 Cd 2.87, 2 Os 2.89
Cd2 0.0000 0.4295 0.4883  5 Cd 2.80-3.08, 2 Os 2.87, 2 Sc 3.09

Properties
The space-group type is No. 10. The calculation puts the total energy at -18.81 eV per formula unit. For the formation enthalpy at 0 K, the calculation gives 145 meV/atom. The value obtained for the distance to the lowest polymorph of the same formula is 0.1688 eV per atom.

***

# 2
Entry from Alexandria: crystalline CsNa2P at its relaxed geometry (PBE).

Cell: 4.9751 4.9751 6.9033 Å, 68.88 68.88 60.00°
Last column: nearest neighbours and their distance in Å.
Sites, in units of the cell vectors:
Cs1 0.0000 0.0000 0.0000  8 Na 3.66-3.89
Na1 0.8057 0.8057 0.5830  3 P 2.92, 3 Na 3.06
Na2 0.1943 0.1943 0.4170  3 P 2.92, 3 Na 3.06
P1 0.5000 0.5000 0.5000  6 Na 2.92

Properties
The space-group type is No. 166. The calculation puts the total energy at -9.91 eV per formula unit. For the formation enthalpy at 0 K, the calculation gives -252 meV/atom.

***

# 3
Entry from Alexandria: crystalline CdIrF at its relaxed geometry (PBE).

Cell: 2.8905 2.8955 13.8372 Å, 90.00 90.00 119.94°
Last column: nearest neighbours and their distance in Å.
Sites, in units of the cell vectors:
Ir1 0.7058 0.4115 0.6669  3 Cd 2.85, 6 Ir 2.89-2.90
Ir2 0.7058 0.4115 0.3331  3 Cd 2.85, 6 Ir 2.89-2.90
F1 0.1833 0.3666 0.1075  3 Cd 2.24
F2 0.1833 0.3666 0.8925  3 Cd 2.24
Cd1 0.5160 0.0320 0.0000  6 F 2.24
Cd2 0.3725 0.7450 0.5000  6 Ir 2.85, 6 Cd 2.89-2.90

Properties
The space-group type is No. 38. For the uncorrected formation energy, the calculation gives -8.03 kcal/mol of atoms. The calculation puts the total energy at -12.69 eV per formula unit.

***

# 4
Entry from Alexandria: crystalline LiPtS2Cl at its relaxed geometry (PBE).

Cell: 4.6843 4.6843 5.2426 Å, 90.00 90.00 90.00°
Last column: nearest neighbours and their distance in Å.
Sites, in units of the cell vectors:
S1 0.5000 0.0000 0.0000  2 Pt 2.34
Li1 0.5000 0.5000 0.5000  4 Cl 3.31, 8 S 3.52
Pt1 0.0000 0.0000 0.0000  4 S 2.34, 2 Cl 2.62
S2 0.0000 0.5000 0.0000  2 Pt 2.34
Cl1 0.0000 0.0000 0.5000  2 Pt 2.62

Properties
The space-group type is No. 123. For the uncorrected formation energy, the calculation gives -2.16 kcal/mol of atoms. The calculation puts the total energy at -18.52 eV per formula unit. The value obtained for the distance to the lowest polymorph of the same formula is 0.0000 eV per atom.

***

# 5
Entry from Alexandria: crystalline KOsBr2 at its relaxed geometry (PBE).

Cell: 6.1994 6.1994 8.1536 Å, 67.66 67.66 90.00°
Last column: nearest neighbours and their distance in Å.
Sites, in units of the cell vectors:
K1 0.5000 0.5000 0.0000  4 Br 3.20
Os1 0.0000 0.0000 0.0000  4 Br 2.48
Os2 0.7500 0.2500 0.5000  4 Br 2.48
Br1 0.8750 0.9805 0.7500  2 Os 2.48
K2 0.2500 0.7500 0.5000  4 Br 3.20
Br2 0.3750 0.2695 0.7500  2 Os 2.48
Br3 0.0195 0.6250 0.2500  2 Os 2.48
Br4 0.7305 0.1250 0.2500  2 Os 2.48

Properties
The space-group type is No. 122. For the uncorrected formation energy, the calculation gives 6.27 kcal/mol of atoms. The calculation puts the total energy at -14.59 eV per formula unit. The value obtained for the distance to the lowest polymorph of the same formula is 0.2251 eV per atom.

***

# 6
Entry from Alexandria: crystalline HgAs2Br at its relaxed geometry (PBE).

Cell: 5.0117 5.0117 5.0117 Å, 60.00 60.00 60.00°
Last column: nearest neighbours and their distance in Å.
Sites, in units of the cell vectors:
As1 0.2500 0.2500 0.2500  4 Hg 3.07, 4 Br 3.07
As2 0.7500 0.7500 0.7500  4 Hg 3.07, 4 Br 3.07
Br1 0.0000 0.0000 0.0000  8 As 3.07
Hg1 0.5000 0.5000 0.5000  8 As 3.07

Properties
The space-group type is No. 225. For the uncorrected formation energy, the calculation gives 12.65 kcal/mol of atoms. The calculation puts the total energy at -9.08 eV per formula unit. The value obtained for the distance to the lowest polymorph of the same formula is 0.5983 eV per atom.